No. 1
Entry from Alexandria: a relaxed structure of NaTlHgPb (GGA-PBE).

Structure (POSCAR):
```
NaTlHgPb
1.0
3.765 0.000 0.005
0.000 3.765 -0.005
-0.012 0.012 8.102
Hg Na Pb Tl
1 1 1 1
direct
0.146 0.854 0.213 Hg
0.646 0.354 0.991 Na
0.146 0.854 0.718 Pb
0.647 0.353 0.468 Tl
```

Properties
- Relative energy among the computed polymorphs: 0 meV per atom
- E_form: -0.39 eV per formula unit


No. 2
Entry from Alexandria: a relaxed structure of GdTiRu4 (GGA-PBE).

Structure (POSCAR):
```
GdTiRu4
1.0
5.227 0.000 0.000
2.614 4.527 0.000
2.614 1.509 4.268
Ti Ru Gd
1 4 1
direct
0.000 0.000 0.000 Ti
0.626 0.626 0.123 Ru
0.626 0.123 0.626 Ru
0.123 0.626 0.626 Ru
0.626 0.626 0.626 Ru
0.250 0.250 0.250 Gd
```

Properties
- E_form: -0.88 eV per formula unit


No. 3
Entry from Alexandria: a relaxed structure of La14PmNd (GGA-PBE).

Structure (POSCAR):
```
La14PmNd
1.0
-3.668 0.351 -6.231
-3.131 -6.138 -2.220
-10.193 2.969 6.168
La Nd Pm
14 1 1
direct
0.127 0.873 0.238 La
0.884 0.636 0.000 La
0.670 0.833 0.251 La
0.863 0.624 0.500 La
0.836 0.164 0.500 La
0.625 0.375 0.742 La
0.364 0.116 0.000 La
0.625 0.375 0.258 La
0.311 0.689 0.500 La
0.376 0.137 0.500 La
0.670 0.833 0.749 La
0.127 0.873 0.762 La
0.167 0.330 0.749 La
0.167 0.330 0.251 La
0.361 0.639 0.000 Nd
0.827 0.173 0.000 Pm
```

Properties
- E_form: 1.34 eV per formula unit


No. 4
Entry from Alexandria: a relaxed structure of La2Cu2Pt (GGA-PBE).

Structure (POSCAR):
```
La2Cu2Pt
1.0
5.602 0.000 0.000
0.000 5.602 0.000
2.801 2.801 3.722
La Cu Pt
2 2 1
direct
0.250 0.750 0.500 La
0.750 0.250 0.500 La
0.652 0.652 0.696 Cu
0.348 0.348 0.304 Cu
0.000 0.000 0.000 Pt
```

Properties
- Relative energy among the computed polymorphs: 226 meV per atom
- E_form: -1.68 eV per formula unit


No. 5
Entry from Alexandria: a relaxed structure of Ho5MgGa4 (GGA-PBE).

Structure (POSCAR):
```
Ho5MgGa4
1.0
3.586 0.000 0.000
0.000 3.586 0.000
0.000 0.000 18.125
Ga Ho Mg
4 5 1
direct
0.000 0.000 0.403 Ga
0.000 0.000 0.205 Ga
0.000 0.000 0.795 Ga
0.000 0.000 0.597 Ga
0.500 0.500 0.888 Ho
0.500 0.500 0.305 Ho
0.500 0.500 0.112 Ho
0.500 0.500 0.500 Ho
0.500 0.500 0.695 Ho
0.000 0.000 0.000 Mg
```

Properties
- E_form: -4.81 eV per formula unit


No. 6
Entry from Alexandria: a relaxed structure of VB3Te (GGA-PBE).

Structure (POSCAR):
```
VB3Te
1.0
-1.766 -2.875 -2.783
3.990 -1.043 -1.455
0.292 -3.127 3.044
B Te V
3 1 1
direct
0.000 0.000 0.500 B
0.500 0.000 0.000 B
0.000 0.500 0.000 B
0.000 0.000 0.000 Te
0.500 0.500 0.500 V
```

Properties
- E_form (uncorrected): 12.13 eV/f.u.
- Relative energy among the computed polymorphs: 951 meV per atom


No. 7
Entry from Alexandria: a relaxed structure of Tl6Se2Cl (GGA-PBE).

Structure (POSCAR):
```
Tl6Se2Cl
1.0
6.600 0.000 0.000
0.000 6.311 -3.644
0.000 0.000 7.288
Tl Se Cl
6 2 1
direct
0.786 0.000 0.345 Tl
0.214 0.345 0.345 Tl
0.786 0.655 0.655 Tl
0.786 0.345 0.000 Tl
0.214 0.655 0.000 Tl
0.214 0.000 0.655 Tl
0.500 0.667 0.333 Se
0.500 0.333 0.667 Se
0.500 0.000 0.000 Cl
```

Properties
- E_form (uncorrected): -3.65 eV/f.u.


No. 8
Entry from Alexandria: a relaxed structure of Ca2MgCu3 (GGA-PBE).

Structure (POSCAR):
```
Ca2MgCu3
1.0
-0.225 -4.524 4.769
5.620 -3.350 0.670
2.289 4.766 4.630
Cu Ca Mg
6 4 2
direct
0.202 0.580 0.250 Cu
0.420 0.798 0.250 Cu
0.580 0.202 0.750 Cu
0.798 0.420 0.750 Cu
0.982 0.018 0.750 Cu
0.018 0.982 0.250 Cu
0.214 0.214 0.000 Ca
0.786 0.786 0.000 Ca
0.786 0.786 0.500 Ca
0.214 0.214 0.500 Ca
0.652 0.348 0.250 Mg
0.348 0.652 0.750 Mg
```

Properties
- Relative energy among the computed polymorphs: 142 meV per atom
- E_form: 0.36 eV per formula unit


No. 9
Entry from Alexandria: a relaxed structure of SrAc4Pb4 (GGA-PBE).

Structure (POSCAR):
```
SrAc4Pb4
1.0
-1.174 -5.569 -3.831
9.456 1.197 -4.638
4.433 -6.073 7.471
Ac Sr Pb
8 2 8
direct
0.881 0.406 0.175 Ac
0.381 0.675 0.094 Ac
0.619 0.094 0.325 Ac
0.119 0.175 0.594 Ac
0.119 0.825 0.406 Ac
0.619 0.906 0.675 Ac
0.381 0.325 0.906 Ac
0.881 0.594 0.825 Ac
0.500 0.500 0.500 Sr
0.000 0.000 0.000 Sr
0.878 0.727 0.126 Pb
0.378 0.626 0.773 Pb
0.622 0.773 0.374 Pb
0.122 0.874 0.727 Pb
0.122 0.126 0.273 Pb
0.378 0.374 0.227 Pb
0.878 0.273 0.874 Pb
0.622 0.227 0.626 Pb
```

Properties
- E_form: -3.05 eV per formula unit


No. 10
Entry from Alexandria: a relaxed structure of Tl2SiW (GGA-PBE).

Structure (POSCAR):
```
Tl2SiW
1.0
9.478 0.004 0.002
8.904 3.246 0.002
8.904 1.574 2.839
W Tl Si
1 2 1
direct
0.488 0.488 0.488 W
0.009 0.009 0.009 Tl
0.238 0.238 0.238 Tl
0.765 0.765 0.765 Si
```

Properties
- E_form (uncorrected): 2.14 eV/f.u.
- Relative energy among the computed polymorphs: 75 meV per atom


No. 11
Entry from Alexandria: a relaxed structure of NaEuBr3 (GGA-PBE).

Structure (POSCAR):
```
NaEuBr3
1.0
5.902 0.000 0.000
0.000 5.902 0.000
0.000 0.000 5.902
Br Eu Na
3 1 1
direct
0.500 0.000 0.000 Br
0.000 0.500 0.000 Br
0.000 0.000 0.500 Br
0.000 0.000 0.000 Eu
0.500 0.500 0.500 Na
```

Properties
- E_form (uncorrected): -8.15 eV/f.u.


No. 12
Entry from Alexandria: a relaxed structure of LiPaCuAu (GGA-PBE).

Structure (POSCAR):
```
LiPaCuAu
1.0
4.784 0.000 0.000
2.392 4.143 0.000
2.392 1.381 3.906
Cu Li Pa Au
1 1 1 1
direct
0.250 0.250 0.250 Cu
0.500 0.500 0.500 Li
0.000 0.000 0.000 Pa
0.750 0.750 0.750 Au
```

Properties
- E_form: -0.30 eV per formula unit


Number 1: M_tot 0.00 μB per formula unit. Number 2: M_tot 6.78 μB per formula unit. Number 3: M_tot 0.00 μB per formula unit. Number 4: M_tot 0.00 μB per formula unit. Number 5: M_tot 0.00 μB per formula unit. Number 6: M_tot 2.79 μB per formula unit. Number 7: M_tot 0.00 μB per formula unit. Number 8: M_tot 0.00 μB per formula unit. Number 9: M_tot 0.00 μB per formula unit. Number 10: M_tot 0.00 μB per formula unit. Number 11: M_tot 6.96 μB per formula unit. Number 12: M_tot 0.01 μB per formula unit.